Entry 1:
AlZnIn: relaxed, GGA-PBE.

Results
Space-group type   Pnma (62)

abc: 7.528 4.165 7.985
angles: 90.00 90.00 90.00
Fractional coordinates of all 12 atoms:
In  0.830  0.250  0.074
Al  0.906  0.250  0.420
Al  0.406  0.250  0.080
In  0.170  0.750  0.926
Zn  0.437  0.250  0.752
Zn  0.937  0.250  0.748
In  0.670  0.750  0.574
Zn  0.063  0.750  0.252
Zn  0.563  0.750  0.248
In  0.330  0.250  0.426
Al  0.094  0.750  0.580
Al  0.594  0.750  0.920

=====

Entry 2:
AlZnIn: relaxed, GGA-PBE.

Results
Space-group type   P2 (3)

abc: 5.899 4.490 4.774
angles: 89.58 89.99 89.99
Fractional coordinates of all 6 atoms:
In  0.543  0.676  0.300
Zn  0.194  0.926  0.951
In  0.627  0.176  0.800
Zn  0.194  0.425  0.649
Al  0.989  0.923  0.458
Al  0.989  0.429  0.142

=====

Entry 3:
AlZnIn: relaxed, GGA-PBE.

Results
Space-group type   P1 (1)

abc: 6.369 8.518 2.948
angles: 67.56 90.98 58.60
Fractional coordinates of all 6 atoms:
Zn  0.511  0.547  0.430
Al  0.990  0.442  0.529
In  0.552  0.897  0.094
Al  0.442  0.281  0.212
Zn  0.073  0.705  0.751
In  0.967  0.078  0.889

=====

Entry 4:
AlZnIn: relaxed, GGA-PBE.

Results
Space-group type   Pnma (62)

abc: 7.953 4.216 7.535
angles: 90.00 90.00 90.00
Fractional coordinates of all 12 atoms:
Zn  0.919  0.250  0.422
In  0.793  0.250  0.083
Zn  0.419  0.250  0.078
Al  0.033  0.750  0.234
Al  0.467  0.250  0.734
Zn  0.081  0.750  0.578
Al  0.533  0.750  0.266
In  0.207  0.750  0.917
In  0.707  0.750  0.583
Al  0.967  0.250  0.766
Zn  0.581  0.750  0.922
In  0.293  0.250  0.417

=====

Entry 5:
AlZnIn: relaxed, GGA-PBE.

Results
Space-group type   Pnma (62)

abc: 6.570 5.603 6.603
angles: 90.00 90.00 90.00
Fractional coordinates of all 12 atoms:
Zn  0.705  0.250  0.799
Zn  0.795  0.750  0.299
In  0.899  0.250  0.387
Al  0.500  0.000  0.500
In  0.399  0.250  0.113
Al  0.500  0.500  0.500
Al  0.000  0.500  0.000
In  0.101  0.750  0.613
In  0.601  0.750  0.887
Zn  0.295  0.750  0.201
Al  0.000  0.000  0.000
Zn  0.205  0.250  0.701

=====

Entry 6:
AlZnIn3: relaxed, GGA-PBE.

Results
Distance to the lowest polymorph of the same formula   0.00 eV per formula unit
Space-group type   Pm-3m (221)

abc: 5.370 5.370 5.370
angles: 90.00 90.00 90.00
Fractional coordinates of all 5 atoms:
Al  0.000  0.000  0.000
In  0.500  0.000  0.000
In  0.000  0.000  0.500
In  0.000  0.500  0.000
Zn  0.500  0.500  0.500

=====

Entry 7:
AlZnIn: relaxed, GGA-PBE.

Results
Space-group type   P1 (1)

abc: 4.056 5.990 5.211
angles: 82.45 90.00 90.02
Fractional coordinates of all 6 atoms:
Zn  0.961  0.637  0.465
In  0.959  0.193  0.816
Al  0.960  0.638  0.962
In  0.460  0.299  0.297
Al  0.460  0.872  0.668
Zn  0.461  0.831  0.179

=====

Entry 8:
Al2ZnIn2: relaxed, GGA-PBE.

Results
Space-group type   I4/mmm (139)

abc: 3.840 3.840 8.209
angles: 76.47 76.47 90.00
Fractional coordinates of all 5 atoms:
Al  0.750  0.250  0.500
Al  0.250  0.750  0.500
In  0.600  0.600  0.801
Zn  0.000  0.000  0.000
In  0.400  0.400  0.199

=====

| no. | theoretical density (g/cm3) | ΔH_f (0 K) (eV per atom) | raw total energy (eV/atom) |
| --- | --- | --- | --- |
| 1 | 5.50 | 0.1569 | -2.43 |
| 2 | 5.44 | 0.0911 | -2.49 |
| 3 | 5.67 | 0.1182 | -2.47 |
| 4 | 5.45 | 0.1662 | -2.42 |
| 5 | 5.66 | 0.0996 | -2.49 |
| 6 | 4.68 | 0.4303 | -2.22 |
| 7 | 5.48 | 0.0868 | -2.50 |
| 8 | 5.07 | 0.2317 | -2.62 |